Version A
The following is a DFT calculation (GGA-PBE) of an optimized crystal structure of Tm2ZnTc.

spin magnetization = 0.00 μB/f.u.
SG = P4/mmm, No. 123
calculated density = 10.03 g cm⁻³

Cell: 3.4592 3.4592 6.9325 Å, 90.00 90.00 90.00°
Fractional coordinates of all 4 atoms:
1 Tc 0.5000 0.5000 0.0000
2 Tm 0.0000 0.0000 0.2311
3 Zn 0.5000 0.5000 0.5000
4 Tm 0.0000 0.0000 0.7689

Version B
The following is a DFT calculation (GGA-PBE) of an optimized crystal structure of Tm2ZnTc.

spin magnetization = 0.00 μB/f.u.
SG = Fm-3m, No. 225
calculated density = 10.25 g cm⁻³

Cell: 4.8607 4.8607 4.8607 Å, 60.00 60.00 60.00°
Fractional coordinates of all 4 atoms:
1 Tc 0.5000 0.5000 0.5000
2 Tm 0.7500 0.7500 0.7500
3 Tm 0.2500 0.2500 0.2500
4 Zn 0.0000 0.0000 0.0000

Version C
The following is a DFT calculation (GGA-PBE) of an optimized crystal structure of Tm2ZnTc.

spin magnetization = 0.00 μB/f.u.
SG = R-3m, No. 166
calculated density = 8.37 g cm⁻³

Cell: 3.3761 3.3761 10.2612 Å, 80.53 80.53 60.00°
Fractional coordinates of all 4 atoms:
1 Tc 0.5000 0.5000 0.5000
2 Zn 0.0000 0.0000 0.0000
3 Tm 0.1011 0.1011 0.6967
4 Tm 0.8989 0.8989 0.3033

Stability summary - winner: version A; margin: 0.034 eV/atom.

Version A
The following is a DFT calculation (GGA-PBE) of an optimized crystal structure of TmZrTc.

spin magnetization = 0.00 μB/f.u.
SG = I4mm, No. 107
calculated density = 9.02 g cm⁻³

Cell: 3.3840 3.3840 6.2330 Å, 105.75 105.75 90.00°
Fractional coordinates of all 3 atoms:
1 Zr 0.2984 0.2984 0.5968
2 Tc 0.6780 0.6780 0.3560
3 Tm 0.0236 0.0236 0.0471

Version B
The following is a DFT calculation (GGA-PBE) of an optimized crystal structure of TmZrTc.

spin magnetization = 0.00 μB/f.u.
SG = F-43m, No. 216
calculated density = 8.45 g cm⁻³

Cell: 4.6367 4.6335 4.6334 Å, 90.01 119.99 119.98°
Fractional coordinates of all 3 atoms:
1 Tm 0.9444 0.9722 0.9166
2 Zr 0.9444 0.4722 0.4167
3 Tc 0.4444 0.2222 0.6666

Stability summary - winner: version A; margin: 0.222 eV/atom.

Version A
The following is a DFT calculation (GGA-PBE) of an optimized crystal structure of U5Tc3.

spin magnetization = 1.87 μB/f.u.
SG = I-4m2, No. 119
calculated density = 16.10 g cm⁻³

Cell: 3.8325 3.8325 10.7694 Å, 100.25 100.25 90.00°
Last column: magnetic moment on the atom in μB.
Fractional coordinates of all 8 atoms:
1 Tc 0.1283 0.1283 0.2565  -0.08
2 U 0.7500 0.2500 0.5000  0.94
3 Tc 0.2500 0.7500 0.5000  -0.17
4 Tc 0.8717 0.8717 0.7435  -0.08
5 U 0.5055 0.0055 0.0111  0.06
6 U 0.6211 0.6211 0.2422  0.49
7 U 0.3789 0.3789 0.7578  0.49
8 U 0.9945 0.4945 0.9889  0.06

Version B
The following is a DFT calculation (GGA-PBE) of an optimized crystal structure of U5Tc3.

spin magnetization = 0.00 μB/f.u.
SG = C2/m, No. 12
calculated density = 15.85 g cm⁻³

Cell: 5.4325 7.7304 8.0193 Å, 86.29 70.20 78.97°
Fractional coordinates of all 16 atoms:
1 Tc 0.2414 0.8394 0.5000
2 Tc 0.2325 0.9996 0.0358
3 U 0.4380 0.2925 0.8312
4 U 0.1314 0.1512 0.7075
5 U 0.7651 0.5788 0.5000
6 U 0.7693 0.2925 0.1688
7 Tc 0.7595 0.1598 0.5000
8 U 0.8695 0.8480 0.2925
9 U 0.5628 0.7067 0.1688
10 Tc 0.8066 0.4996 0.8875
11 U 0.6620 0.8480 0.7075
12 U 0.2316 0.7067 0.8312
13 U 0.2358 0.4203 0.5000
14 Tc 0.1942 0.4996 0.1125
15 Tc 0.7683 0.9996 0.9642
16 U 0.3389 0.1512 0.2925

Stability summary - winner: version B; margin: 0.027 eV/atom.

Version A
The following is a DFT calculation (GGA-PBE) of an optimized crystal structure of U2Tc.

spin magnetization = 0.00 μB/f.u.
SG = Fmmm, No. 69
calculated density = 17.02 g cm⁻³

Cell: 5.0432 4.5634 5.3743 Å, 115.12 90.00 90.00°
Fractional coordinates of all 6 atoms:
1 Tc 0.2500 0.7498 0.0000
2 U 0.2500 0.4294 0.3588
3 U 0.7500 0.9294 0.3588
4 Tc 0.7500 0.2502 0.0000
5 U 0.2500 0.0706 0.6412
6 U 0.7500 0.5706 0.6412

Version B
The following is a DFT calculation (GGA-PBE) of an optimized crystal structure of U2Tc.

spin magnetization = 0.57 μB/f.u.
SG = P-3m1, No. 164
calculated density = 17.14 g cm⁻³

Cell: 2.9950 4.6304 4.6297 Å, 60.00 90.03 90.00°
Last column: magnetic moment on the atom in μB.
Fractional coordinates of all 3 atoms:
1 Tc 0.0000 0.0000 0.0000  -0.04
2 U 0.3593 0.3334 0.3333  0.30
3 U 0.6407 0.6666 0.6667  0.30

Version C
The following is a DFT calculation (GGA-PBE) of an optimized crystal structure of U2Tc.

spin magnetization = 0.23 μB/f.u.
SG = Cmmm, No. 65
calculated density = 16.95 g cm⁻³

Cell: 7.7188 7.7188 4.8814 Å, 90.00 90.00 157.25°
Last column: magnetic moment on the atom in μB.
Fractional coordinates of all 6 atoms:
1 Tc 0.3241 0.6759 0.0000  0.00
2 U 0.0000 0.0000 0.0000  0.37
3 U 0.5000 0.5000 0.5000  0.16
4 U 0.8318 0.1682 0.5000  -0.04
5 U 0.1682 0.8318 0.5000  -0.04
6 Tc 0.6759 0.3241 0.0000  0.00

Version D
The following is a DFT calculation (GGA-PBE) of an optimized crystal structure of U2Tc.

spin magnetization = 0.00 μB/f.u.
SG = I4/mmm, No. 139
calculated density = 17.13 g cm⁻³

Cell: 3.3896 3.3896 5.4029 Å, 108.28 108.28 90.00°
Fractional coordinates of all 3 atoms:
1 U 0.3200 0.3200 0.6400
2 Tc 0.0000 0.0000 0.0000
3 U 0.6800 0.6800 0.3600

Stability summary - winner: version A; margin: 0.016 eV/atom.

Version A
The following is a DFT calculation (GGA-PBE) of an optimized crystal structure of UTc2.

spin magnetization = 0.00 μB/f.u.
SG = I4/mmm, No. 139
calculated density = 13.95 g cm⁻³

Cell: 2.9519 2.9519 6.2859 Å, 103.58 103.58 90.00°
Fractional coordinates of all 3 atoms:
1 Tc 0.6851 0.6851 0.3703
2 U 0.0000 0.0000 0.0000
3 Tc 0.3149 0.3149 0.6297

Version B
The following is a DFT calculation (GGA-PBE) of an optimized crystal structure of UTc2.

spin magnetization = 0.96 μB/f.u.
SG = Fd-3m, No. 227
calculated density = 13.52 g cm⁻³

Cell: 5.3227 5.3227 5.3227 Å, 60.00 60.00 60.00°
Last column: magnetic moment on the atom in μB.
Fractional coordinates of all 6 atoms:
1 U 0.2500 0.2500 0.2500  1.11
2 Tc 0.6250 0.1250 0.6250  -0.11
3 Tc 0.6250 0.6250 0.1250  -0.11
4 U 0.0000 0.0000 0.0000  1.11
5 Tc 0.1250 0.6250 0.6250  -0.11
6 Tc 0.6250 0.6250 0.6250  -0.11

Stability summary - winner: version A; margin: 0.011 eV/atom.

Version A
The following is a DFT calculation (GGA-PBE) of an optimized crystal structure of UTc4.

spin magnetization = 1.33 μB/f.u.
SG = Pm-3m, No. 221
calculated density = 10.01 g cm⁻³

Cell: 4.7100 4.7100 4.7100 Å, 90.00 90.00 90.00°
Last column: magnetic moment on the atom in μB.
Fractional coordinates of all 5 atoms:
1 Tc 0.0000 0.5000 0.5000  -0.49
2 Tc 0.5000 0.0000 0.5000  -0.49
3 Tc 0.5000 0.5000 0.0000  -0.49
4 U 0.5000 0.5000 0.5000  0.18
5 Tc 0.0000 0.0000 0.0000  2.49

Version B
The following is a DFT calculation (GGA-PBE) of an optimized crystal structure of UTc4.

spin magnetization = 0.00 μB/f.u.
SG = P-1, No. 2
calculated density = 12.50 g cm⁻³

Cell: 5.1187 4.4428 13.5850 Å, 127.84 90.22 124.90°
Fractional coordinates of all 10 atoms:
1 U 0.2710 0.3019 0.2502
2 Tc 0.2485 0.3513 0.0795
3 U 0.5291 0.2981 0.7498
4 Tc 0.5514 0.2487 0.9205
5 Tc 0.7996 0.3900 0.3754
6 Tc 0.6035 0.3529 0.5801
7 Tc 0.0901 0.3901 0.8754
8 Tc 0.1966 0.2471 0.4199
9 Tc 0.0005 0.2100 0.6246
10 Tc 0.7098 0.2099 0.1246

Stability summary - winner: version B; margin: 1.617 eV/atom.

Version A
The following is a DFT calculation (GGA-PBE) of an optimized crystal structure of UVTc.

spin magnetization = 0.00 μB/f.u.
SG = I4mm, No. 107
calculated density = 12.47 g cm⁻³

Cell: 3.6175 3.6175 4.6960 Å, 112.65 112.65 90.00°
Fractional coordinates of all 3 atoms:
1 V 0.6434 0.6434 0.2869
2 Tc 0.2630 0.2630 0.5259
3 U 0.9436 0.9436 0.8872

Version B
The following is a DFT calculation (GGA-PBE) of an optimized crystal structure of UVTc.

spin magnetization = 0.33 μB/f.u.
SG = P4/nmm, No. 129
calculated density = 12.73 g cm⁻³

Cell: 3.6194 3.6194 7.7091 Å, 90.00 90.00 90.00°
Last column: magnetic moment on the atom in μB.
Fractional coordinates of all 6 atoms:
1 Tc 0.5000 0.0000 0.6454  0.05
2 V 0.0000 0.5000 0.6854  -0.16
3 U 0.5000 0.5000 0.0000  0.46
4 V 0.5000 0.0000 0.3146  -0.16
5 Tc 0.0000 0.5000 0.3546  0.05
6 U 0.0000 0.0000 0.0000  0.46

Version C
The following is a DFT calculation (GGA-PBE) of an optimized crystal structure of UVTc.

spin magnetization = 0.12 μB/f.u.
SG = P3m1, No. 156
calculated density = 13.40 g cm⁻³

Cell: 2.8117 4.4369 4.4369 Å, 120.00 90.00 90.00°
Last column: magnetic moment on the atom in μB.
Fractional coordinates of all 3 atoms:
1 Tc 0.6090 0.3333 0.6667  -0.01
2 V 0.0758 0.0000 0.0000  0.03
3 U 0.3152 0.6667 0.3333  0.10

Stability summary - winner: version C; margin: 0.152 eV/atom.

Version A
The following is a DFT calculation (GGA-PBE) of an optimized crystal structure of UZn2Tc.

spin magnetization = 0.38 μB/f.u.
SG = P2_1/m, No. 11
calculated density = 10.92 g cm⁻³

Cell: 4.6855 5.2009 6.4165 Å, 114.82 90.00 90.00°
Last column: magnetic moment on the atom in μB.
Fractional coordinates of all 8 atoms:
1 Zn 0.2500 0.3647 0.1863  0.01
2 U 0.2500 0.2444 0.6438  0.36
3 Tc 0.2500 0.7931 0.6364  -0.04
4 Zn 0.7500 0.1725 0.9292  0.00
5 Zn 0.7500 0.6353 0.8137  0.01
6 Zn 0.2500 0.8275 0.0708  0.00
7 U 0.7500 0.7556 0.3562  0.36
8 Tc 0.7500 0.2069 0.3636  -0.04

Version B
The following is a DFT calculation (GGA-PBE) of an optimized crystal structure of UZn2Tc.

spin magnetization = 0.40 μB/f.u.
SG = P2_1/m, No. 11
calculated density = 11.00 g cm⁻³

Cell: 4.8148 4.9301 6.2163 Å, 90.00 90.00 107.20°
Last column: magnetic moment on the atom in μB.
Fractional coordinates of all 8 atoms:
1 Zn 0.4223 0.7271 0.0453  0.00
2 U 0.9619 0.8666 0.7500  0.50
3 U 0.0381 0.1334 0.2500  0.50
4 Tc 0.9112 0.6414 0.2500  -0.12
5 Zn 0.5777 0.2729 0.5453  0.00
6 Tc 0.0888 0.3586 0.7500  -0.12
7 Zn 0.5777 0.2729 0.9547  0.00
8 Zn 0.4223 0.7271 0.4547  0.00

Stability summary - winner: version B; margin: 0.107 eV/atom.

Version A
The following is a DFT calculation (GGA-PBE) of an optimized crystal structure of UZnTc2.

spin magnetization = 0.00 μB/f.u.
SG = P4/mmm, No. 123
calculated density = 12.74 g cm⁻³

Cell: 3.5609 4.2755 4.2755 Å, 90.00 90.00 90.00°
Fractional coordinates of all 4 atoms:
1 Zn 0.5000 0.0000 0.0000
2 U 0.5000 0.5000 0.5000
3 Tc 0.0000 0.0000 0.5000
4 Tc 0.0000 0.5000 0.0000

Version B
The following is a DFT calculation (GGA-PBE) of an optimized crystal structure of UZnTc2.

spin magnetization = 0.00 μB/f.u.
SG = Fm-3m, No. 225
calculated density = 12.44 g cm⁻³

Cell: 4.5511 4.5511 4.5511 Å, 60.00 60.00 60.00°
Fractional coordinates of all 4 atoms:
1 U 0.0000 0.0000 0.0000
2 Tc 0.2500 0.2500 0.2500
3 Tc 0.7500 0.7500 0.7500
4 Zn 0.5000 0.5000 0.5000

Stability summary - winner: version A; margin: 0.184 eV/atom.

Version A
The following is a DFT calculation (GGA-PBE) of an optimized crystal structure of V5Tc.

spin magnetization = 0.00 μB/f.u.
SG = P2_1/m, No. 11
calculated density = 7.12 g cm⁻³

Cell: 5.0095 5.0351 7.5395 Å, 90.00 90.00 120.17°
Fractional coordinates of all 12 atoms:
1 V 0.7515 0.9536 0.5795
2 V 0.2485 0.0464 0.4205
3 V 0.7499 0.4497 0.9212
4 V 0.7499 0.4497 0.5788
5 Tc 0.7485 0.6119 0.2500
6 V 0.7508 0.1132 0.2500
7 V 0.2501 0.5503 0.4212
8 V 0.7515 0.9536 0.9205
9 Tc 0.2515 0.3881 0.7500
10 V 0.2501 0.5503 0.0788
11 V 0.2492 0.8868 0.7500
12 V 0.2485 0.0464 0.0795

Version B
The following is a DFT calculation (GGA-PBE) of an optimized crystal structure of V5Tc.

spin magnetization = 0.00 μB/f.u.
SG = Cmmm, No. 65
calculated density = 7.20 g cm⁻³

Cell: 3.0114 4.2445 6.7089 Å, 108.44 90.00 90.00°
Fractional coordinates of all 6 atoms:
1 V 0.5000 0.1662 0.3325
2 V 0.5000 0.5000 0.0000
3 V 0.5000 0.8338 0.6675
4 Tc 0.0000 0.0000 0.0000
5 V 0.0000 0.6694 0.3387
6 V 0.0000 0.3306 0.6613

Stability summary - winner: version B; margin: 0.102 eV/atom.

Version A
The following is a DFT calculation (GGA-PBE) of an optimized crystal structure of V4Tc.

spin magnetization = 0.00 μB/f.u.
SG = Fddd, No. 70
calculated density = 7.25 g cm⁻³

Cell: 5.0729 5.0729 6.7476 Å, 100.51 100.51 120.97°
Fractional coordinates of all 10 atoms:
1 V 0.8302 0.8303 0.1997
2 V 0.4299 0.4299 0.3990
3 V 0.0803 0.5802 0.6997
4 V 0.8805 0.3806 0.3003
5 V 0.0309 0.0309 0.6010
6 Tc 0.4804 0.9804 0.5000
7 V 0.2809 0.7809 0.1010
8 V 0.6306 0.6305 0.8003
9 Tc 0.2304 0.2304 0.0000
10 V 0.6799 0.1799 0.8990

Version B
The following is a DFT calculation (GGA-PBE) of an optimized crystal structure of V4Tc.

spin magnetization = 3.22 μB/f.u.
SG = Pm-3m, No. 221
calculated density = 5.48 g cm⁻³

Cell: 4.5040 4.5040 4.5040 Å, 90.00 90.00 90.00°
Last column: magnetic moment on the atom in μB.
Fractional coordinates of all 5 atoms:
1 V 0.5000 0.5000 0.0000  0.10
2 V 0.0000 0.5000 0.5000  0.10
3 V 0.5000 0.0000 0.5000  0.10
4 V 0.0000 0.0000 0.0000  2.38
5 Tc 0.5000 0.5000 0.5000  0.04

Version C
The following is a DFT calculation (GGA-PBE) of an optimized crystal structure of V4Tc.

spin magnetization = 0.00 μB/f.u.
SG = C2/m, No. 12
calculated density = 7.38 g cm⁻³

Cell: 4.2388 5.0084 4.2363 Å, 115.02 120.15 64.96°
Fractional coordinates of all 5 atoms:
1 V 0.3996 0.8009 0.6004
2 V 0.8041 0.5881 0.1960
3 V 0.6004 0.1991 0.3996
4 V 0.1959 0.4119 0.8040
5 Tc 0.0000 0.0000 0.0000

Stability summary - winner: version C; margin: 0.206 eV/atom.